# AcCo2BiO8 PBE with a Hubbard U optimized geometry
data_AcCo2BiO8
_chemical_formula_sum 'Ac2 Co4 Bi2 O16'
_cell_length_a 7.417
_cell_length_b 7.417
_cell_length_c 6.518
_cell_angle_alpha 90.00
_cell_angle_beta 90.00
_cell_angle_gamma 90.00
_space_group_name_H-M_alt 'I -4 m 2'
_space_group_IT_number 119
_space_group_name_Hall 'I -4 -2'
loop_
_atom_site_label
_atom_site_type_symbol
_atom_site_fract_x
_atom_site_fract_y
_atom_site_fract_z
_atom_site_occupancy
Ac1 Ac 0.000 0.000 0.000 1
Co1 Co 0.000 0.000 0.500 1
Co2 Co 0.000 0.500 0.750 1
Bi1 Bi 0.000 0.500 0.250 1
O1 O 0.000 0.187 0.328 1
O2 O 0.000 0.336 0.933 1
# E_tot	-6.0520	eV/atom
# total magnetic moment	3.97	μB per formula unit
# mass density	6.31	g cm⁻³
# density of states at the Fermi level	4.59	states/eV/f.u.